Version w
Material: BeCdIr2
Method: DFT, PBE-GGA
State: relaxed

a b c (Å): 4.678 4.678 2.834
angles (deg): 90.00 90.00 107.72
Atoms (fractional coordinates):
1 Be 0.500 0.000 0.500
2 Ir 0.000 0.000 0.000
3 Ir 0.500 0.500 0.000
4 Cd 0.000 0.500 0.500



Version x
Material: BeCdIr2
Method: DFT, PBE-GGA
State: relaxed

a b c (Å): 4.333 4.333 8.511
angles (deg): 75.25 75.25 90.00
Atoms (fractional coordinates):
1 Be 0.500 0.500 0.000
2 Be 0.250 0.750 0.500
3 Ir 0.493 0.125 0.250
4 Ir 0.257 0.625 0.250
5 Ir 0.375 0.507 0.750
6 Ir 0.875 0.743 0.750
7 Cd 0.000 0.000 0.000
8 Cd 0.750 0.250 0.500



Name the least stable of them. version x.



Version w
Material: BC2
Method: DFT, PBE-GGA
State: relaxed

a b c (Å): 4.578 4.552 4.550
angles (deg): 100.10 98.39 120.41
Atoms (fractional coordinates):
1 B 0.034 0.707 0.120
2 B 0.534 0.490 0.485
3 B 0.195 0.581 0.659
4 B 0.795 0.129 0.483
5 C 0.165 0.847 0.504
6 C 0.369 0.369 0.117
7 C 0.356 0.663 0.006
8 C 0.713 0.043 0.109
9 C 0.659 0.322 0.995
10 C 0.536 0.203 0.640
11 C 0.001 0.013 0.993
12 C 0.892 0.885 0.638



Version x
Material: BC2
Method: DFT, PBE-GGA
State: relaxed

a b c (Å): 6.993 6.828 6.828
angles (deg): 158.06 141.07 44.99
Atoms (fractional coordinates):
1 B 0.985 0.343 0.642
2 B 0.147 0.147 0.000
3 B 0.978 0.978 0.000
4 B 0.140 0.782 0.358
5 C 0.618 0.291 0.327
6 C 0.510 0.168 0.342
7 C 0.615 0.957 0.658
8 C 0.507 0.834 0.673
9 C 0.978 0.659 0.319
10 C 0.625 0.625 0.000
11 C 0.500 0.500 0.000
12 C 0.147 0.466 0.681



Name the least stable of them. version w.



Version w
Material: CaAuCl2
Method: DFT, PBE-GGA
State: relaxed

a b c (Å): 10.433 10.433 10.433
angles (deg): 21.04 21.04 21.04
Atoms (fractional coordinates):
1 Ca 0.500 0.500 0.500
2 Au 0.000 0.000 0.000
3 Cl 0.884 0.884 0.884
4 Cl 0.116 0.116 0.116



Version x
Material: CaAuCl2
Method: DFT, PBE-GGA
State: relaxed

a b c (Å): 4.237 4.236 5.374
angles (deg): 90.00 90.00 90.00
Atoms (fractional coordinates):
1 Ca 0.500 0.500 0.774
2 Au 0.000 0.000 0.481
3 Cl 0.000 0.000 0.968
4 Cl 0.500 0.500 0.277



Name the least stable of them. version x.